First-principles (PBE) data for an optimized crystal structure of V5ReW6, as listed in Alexandria. Values from VASP.

Properties
As for the electronic total energy: -137.30 eV/cell. For the density of states at the Fermi level, the calculation gives 0.477 states/eV per atom.

Structure (Quantum ESPRESSO input):
```
&SYSTEM
  ibrav = 0, nat = 12, ntyp = 3
/
ATOMIC_SPECIES
V 50.94 V.upf
Re 186.21 Re.upf
W 183.84 W.upf
CELL_PARAMETERS angstrom
-2.186 3.096 6.575
2.186 -3.096 6.575
2.186 3.096 -6.575
ATOMIC_POSITIONS crystal
V 0.000 0.000 0.000
V 0.167 0.667 0.500
V 0.333 0.333 0.000
V 0.667 0.667 0.000
V 0.833 0.333 0.500
Re 0.500 0.000 0.500
W 0.081 0.832 0.249
W 0.247 0.500 0.747
W 0.416 0.168 0.249
W 0.584 0.832 0.751
W 0.753 0.500 0.253
W 0.919 0.168 0.751
```